Here is a crystal of BaZr3 relaxed with PBEsol from Alexandria via LeMat-Bulk. Energies are from meta-GGA SCAN.

Cell: 3.770 3.770 7.674 Å, 90.00 90.00 90.00°
Space group P4/mmm (No. 123)
Symmetry-distinct sites (fractional):
1 Ba 0.000 0.000 0.000 [1 per cell]
2 Zr 0.000 0.000 0.500 [1 per cell]
3 Zr 0.500 0.500 0.313 [2 per cell]

Properties
- Calculated total energy: -32.50 eV/atom
- DFT formation energy: 0.412 eV/atom
- Volume: 109.1 Å³/f.u.
- Crystal system: tetragonal

=====

Here is a crystal of SrCdPt2 relaxed with PBEsol from Alexandria via LeMat-Bulk. Energies are from meta-GGA SCAN.

Cell: 10.782 2.992 5.068 Å, 90.00 106.08 90.00°
Space group Cm (No. 8)
Symmetry-distinct sites (fractional):
1 Sr 0.000 0.000 0.000 [2 per cell]
2 Cd 0.202 0.000 0.638 [2 per cell]
3 Pt 0.258 0.500 0.168 [2 per cell]
4 Pt 0.460 0.000 0.482 [2 per cell]

Properties
- Calculated total energy: -48.70 eV/atom
- DFT formation energy: -0.431 eV/atom
- Volume: 78.6 Å³/f.u.
- Crystal system: monoclinic

=====

Here is a crystal of TaMn2B4 relaxed with PBEsol from Alexandria via LeMat-Bulk. Energies are from meta-GGA SCAN.

Cell: 3.017 3.121 12.770 Å, 90.00 90.00 90.00°
Space group Immm (No. 71)
Symmetry-distinct sites (fractional):
1 Ta 0.000 0.000 0.000 [2 per cell]
2 Mn 0.000 0.500 0.313 [4 per cell]
3 B 0.000 0.000 0.428 [4 per cell]
4 B 0.000 0.500 0.148 [4 per cell]

Properties
- Calculated total energy: -19.61 eV/atom
- DFT formation energy: -0.640 eV/atom
- Volume: 60.1 Å³/f.u.
- Crystal system: orthorhombic

=====

Here is a crystal of CrReTe relaxed with PBEsol from Alexandria via LeMat-Bulk. Energies are from meta-GGA SCAN.

Cell: 3.048 3.988 7.741 Å, 90.00 90.00 90.00°
Space group Imm2 (No. 44)
Symmetry-distinct sites (fractional):
1 Cr 0.000 0.000 0.000 [2 per cell]
2 Re 0.000 0.000 0.659 [2 per cell]
3 Te 0.000 0.000 0.326 [2 per cell]

Properties
- Calculated total energy: -41.55 eV/atom
- Volume: 47.0 Å³/f.u.
- Raw formation energy: 691 meV per atom
- Crystal system: orthorhombic

=====

Here is a crystal of MnHgRu2 relaxed with PBEsol from Alexandria via LeMat-Bulk. Energies are from meta-GGA SCAN.

Cell: 2.7770 2.7770 26.5735 Å, 90.00 90.00 120.00°
Space group R3m (No. 160, hexagonal axes)
Symmetry-distinct sites (fractional):
1 Mn 0.0000 0.0000 0.0000 [3 per cell]
2 Hg 0.0000 0.0000 0.2455 [3 per cell]
3 Ru 0.0000 0.0000 0.4872 [3 per cell]
4 Ru 0.0000 0.0000 0.7442 [3 per cell]

Properties
- Calculated total energy: -38.76 eV/atom
- DFT formation energy: 0.261 eV/atom
- Volume: 59.2 Å³/f.u.
- Crystal system: trigonal

=====

Here is a crystal of KBa2Ta relaxed with PBEsol from Alexandria via LeMat-Bulk. Energies are from meta-GGA SCAN.

Cell: 4.136 4.136 9.872 Å, 90.00 90.00 90.00°
Space group P4mm (No. 99)
Symmetry-distinct sites (fractional):
1 K 0.000 0.000 0.000 [1 per cell]
2 Ba 0.000 0.000 0.364 [1 per cell]
3 Ba 0.500 0.500 0.633 [1 per cell]
4 Ta 0.500 0.500 0.262 [1 per cell]

Properties
- Calculated total energy: -37.27 eV/atom
- DFT formation energy: 1.233 eV/atom
- Volume: 168.8 Å³/f.u.
- Crystal system: tetragonal

=====

Here is a crystal of MgTeC2 relaxed with PBEsol from Alexandria via LeMat-Bulk. Energies are from meta-GGA SCAN.

Cell: 5.929 5.929 5.929 Å, 90.00 90.00 90.00°
Space group Fm-3m (No. 225)
Symmetry-distinct sites (fractional):
1 Mg 0.000 0.000 0.000 [4 per cell]
2 Te 0.000 0.000 0.500 [4 per cell]
3 C 0.250 0.250 0.250 [8 per cell]

Properties
- Calculated total energy: -13.62 eV/atom
- Volume: 52.1 Å³/f.u.
- Raw formation energy: 1987 meV per atom
- Crystal system: cubic

=====

Here is a crystal of Mn2CrO6 relaxed with PBEsol from Alexandria via LeMat-Bulk. Energies are from meta-GGA SCAN.

Cell: 8.574 4.944 9.493 Å, 90.00 90.00 90.00°
Space group Cmce (No. 64)
Symmetry-distinct sites (fractional):
1 Mn 0.167 0.000 0.000 [8 per cell]
2 Cr 0.000 0.000 0.500 [4 per cell]
3 O 0.000 0.164 0.100 [8 per cell]
4 O 0.168 0.168 0.400 [16 per cell]

Properties
- Calculated total energy: -12.29 eV/atom
- Volume: 100.6 Å³/f.u.
- Raw formation energy: -2033 meV per atom
- Crystal system: orthorhombic